Material: Li5Ce4Au6
Method: DFT, GGA-PBE
State: relaxed

Unit cell a=10.7906 b=10.7906 c=15.4149 alpha=90.00 beta=90.00 gamma=157.63
Last column: nearest neighbours and their distance in Å.
Positions (direct):
Li1 0.0602 0.9398 0.5000  3 Au 2.55-2.80
Li2 0.1454 0.8546 0.8247  4 Au 2.63-2.76
Li3 0.1646 0.8354 0.0907  4 Au 2.65-2.96, 2 Li 2.91
Li4 0.1948 0.8052 0.4446  4 Au 2.64-2.74
Li5 0.3399 0.6601 0.4600  4 Au 2.62-2.84, 2 Li 2.91
Li6 0.6601 0.3399 0.9600  4 Au 2.62-2.84, 2 Li 2.91
Li7 0.8052 0.1948 0.9446  4 Au 2.64-2.74
Li8 0.8354 0.1646 0.5907  4 Au 2.65-2.96, 2 Li 2.91
Li9 0.8546 0.1454 0.3247  4 Au 2.63-2.76
Li10 0.9398 0.0602 0.0000  3 Au 2.55-2.80
Ce1 0.3176 0.6824 0.7686  6 Au 3.00-3.05
Ce2 0.3437 0.6563 0.1338  6 Au 3.04-3.08
Ce3 0.4663 0.5337 0.6060  6 Au 3.10-3.14, 2 Li 3.32
Ce4 0.4889 0.5111 0.3406  7 Au 3.10-3.26
Ce5 0.5111 0.4889 0.8406  7 Au 3.10-3.26
Ce6 0.5337 0.4663 0.1060  6 Au 3.10-3.14, 2 Li 3.32
Ce7 0.6563 0.3437 0.6338  6 Au 3.04-3.08
Ce8 0.6824 0.3176 0.2686  6 Au 3.00-3.05
Au1 0.0579 0.9421 0.6916  2 Li 2.76-2.95, 1 Au 3.02, 2 Ce 3.08
Au2 0.0696 0.9304 0.9662  5 Li 2.71-2.84
Au3 0.0796 0.9204 0.2432  1 Li 2.96, 1 Au 3.02, 6 Ce 3.05-3.21
Au4 0.2586 0.7414 0.5918  4 Li 2.64-2.66
Au5 0.2804 0.7196 0.3109  4 Li 2.62-2.74
Au6 0.3851 0.6149 0.9428  4 Li 2.55-2.69
Au7 0.6149 0.3851 0.4428  4 Li 2.55-2.69
Au8 0.7196 0.2804 0.8109  4 Li 2.62-2.74
Au9 0.7414 0.2586 0.0918  4 Li 2.64-2.66
Au10 0.9204 0.0796 0.7432  1 Li 2.96, 1 Au 3.02, 6 Ce 3.05-3.21
Au11 0.9304 0.0696 0.4662  5 Li 2.71-2.84
Au12 0.9421 0.0579 0.1916  2 Li 2.76-2.95, 1 Au 3.02, 2 Ce 3.08

Values from the calculation:
Raw total energy in eV per cell: -120.2
Spin magnetization in μB per atom: 0.292
DOS(E_F) in states/eV per cell: 63.04